# K2ZrNiS4

A geometry-optimized K2ZrNiS4 structure (GGA-PBE, Alexandria).

Cell and atoms, written as POSCAR:
```
K2ZrNiS4
1.0
5.301 -5.289 0.000
5.301 5.289 0.000
-3.385 0.000 6.880
K Zr Ni S
4 2 2 8
Direct
0.000 0.000 0.000
0.000 0.000 0.500
0.000 0.500 0.000
0.500 0.000 0.500
0.500 0.500 0.000
0.500 0.500 0.500
0.000 0.500 0.500
0.500 0.000 0.000
0.204 0.664 0.431
0.263 0.361 0.633
0.336 0.796 0.069
0.361 0.263 0.133
0.639 0.737 0.867
0.664 0.204 0.931
0.737 0.639 0.367
0.796 0.336 0.569
```

Summary:
The formation energy without anion corrections is -0.9964 eV per atom.

# LiBe2Fe

A geometry-optimized LiBe2Fe structure (GGA-PBE, Alexandria).

Cell and atoms, written as POSCAR:
```
LiBe2Fe
1.0
-1.226 1.968 4.006
1.226 -1.968 4.006
1.226 1.968 -4.006
Li Be Fe
1 2 1
Direct
0.000 0.000 0.000
0.252 0.752 0.500
0.477 0.477 0.000
0.720 0.220 0.500
```

Summary:
Its energy relative to the elements is 102 meV per atom.

# TaTi2Mo

A geometry-optimized TaTi2Mo structure (GGA-PBE, Alexandria).

Cell and atoms, written as POSCAR:
```
TaTi2Mo
1.0
-1.606 2.296 4.572
1.606 -2.296 4.572
1.606 2.296 -4.572
Ta Ti Mo
1 2 1
Direct
0.000 0.000 0.000
0.269 0.769 0.500
0.731 0.231 0.500
0.500 0.500 0.000
```

Summary:
The energy above the most stable polymorph in this dataset is 0 meV per atom. Its energy relative to the elements is -93 meV per atom.

# CeBe17Ru

A geometry-optimized CeBe17Ru structure (GGA-PBE, Alexandria).

Cell and atoms, written as POSCAR:
```
CeBe17Ru
1.0
3.774 2.179 3.651
-3.774 2.179 3.651
0.000 -4.358 3.651
Ce Be Ru
1 17 1
Direct
0.000 0.000 0.000
0.049 0.352 0.629
0.049 0.629 0.352
0.211 0.681 0.681
0.250 0.250 0.250
0.339 0.339 0.848
0.339 0.848 0.339
0.352 0.049 0.629
0.352 0.629 0.049
0.442 0.442 0.442
0.505 0.993 0.993
0.629 0.049 0.352
0.629 0.352 0.049
0.681 0.211 0.681
0.681 0.681 0.211
0.848 0.339 0.339
0.993 0.505 0.993
0.993 0.993 0.505
0.664 0.664 0.664
```

Summary:
Its energy relative to the elements is -43 meV per atom.

# PmZr2Bi

A geometry-optimized PmZr2Bi structure (GGA-PBE, Alexandria).

Cell and atoms, written as POSCAR:
```
PmZr2Bi
1.0
4.669 0.000 0.000
0.000 4.669 0.000
0.000 0.000 4.677
Pm Zr Bi
1 2 1
Direct
0.000 0.000 0.000
0.000 0.500 0.500
0.500 0.000 0.500
0.500 0.500 0.000
```

Summary:
Its energy relative to the elements is -152 meV per atom.

# Ag5P2O12

A geometry-optimized Ag5P2O12 structure (GGA-PBE, Alexandria).

Cell and atoms, written as POSCAR:
```
Ag5P2O12
1.0
6.157 -2.670 0.000
6.157 2.670 0.000
-2.464 0.000 7.483
Ag P O
5 2 12
Direct
0.000 0.000 0.000
0.287 0.287 0.095
0.368 0.368 0.731
0.632 0.632 0.269
0.713 0.713 0.905
0.242 0.758 0.500
0.758 0.242 0.500
0.058 0.058 0.649
0.109 0.612 0.929
0.121 0.638 0.551
0.362 0.879 0.449
0.388 0.891 0.071
0.447 0.447 0.351
0.553 0.553 0.649
0.612 0.109 0.929
0.638 0.121 0.551
0.879 0.362 0.449
0.891 0.388 0.071
0.942 0.942 0.351
```

Summary:
The formation energy without anion corrections is -0.5566 eV per atom.

# Hf2Sb2Pb4O13

A geometry-optimized Hf2Sb2Pb4O13 structure (GGA-PBE, Alexandria).

Cell and atoms, written as POSCAR:
```
Hf2Sb2Pb4O13
1.0
-3.800 3.814 5.369
3.800 -3.814 5.369
3.800 3.814 -5.369
Hf Sb Pb O
2 2 4 13
Direct
0.249 0.000 0.249
0.751 0.000 0.751
0.250 0.001 0.751
0.250 0.499 0.249
0.253 0.502 0.751
0.748 0.002 0.253
0.748 0.495 0.747
0.751 0.502 0.249
0.180 0.680 0.500
0.184 0.076 0.512
0.184 0.672 0.108
0.314 0.326 0.389
0.314 0.925 0.988
0.318 0.318 0.000
0.564 0.076 0.892
0.564 0.672 0.488
0.581 0.081 0.500
0.879 0.379 0.500
0.926 0.926 0.000
0.937 0.326 0.012
0.937 0.925 0.611
```

Summary:
The formation energy without anion corrections is -1.9883 eV per atom.

Number 1: spin magnetization 0.00 Bohr magnetons per cell. Number 2: spin magnetization 1.52 Bohr magnetons per cell. Number 3: spin magnetization 0.00 Bohr magnetons per cell. Number 4: spin magnetization 0.00 Bohr magnetons per cell. Number 5: spin magnetization 0.00 Bohr magnetons per cell. Number 6: spin magnetization 1.74 Bohr magnetons per cell. Number 7: spin magnetization 0.00 Bohr magnetons per cell.